Er5Tm2Co2 | PBE | optimized geometry

* E_form: -0.65 eV per formula unit

Unit cell a=10.271 b=10.271 c=6.910 alpha=90.00 beta=90.00 gamma=39.73
Positions (direct):
Er (0.000, 0.000, 0.000)
Er (0.074, 0.712, 0.678)
Er (0.212, 0.574, 0.178)
Er (0.288, 0.926, 0.678)
Er (0.426, 0.788, 0.178)
Er (0.500, 0.500, 0.500)
Er (0.574, 0.212, 0.822)
Er (0.712, 0.074, 0.322)
Er (0.788, 0.426, 0.822)
Er (0.926, 0.288, 0.322)
Tm (0.233, 0.233, 0.000)
Tm (0.267, 0.267, 0.500)
Tm (0.733, 0.733, 0.500)
Tm (0.767, 0.767, 0.000)
Co (0.115, 0.885, 0.390)
Co (0.385, 0.615, 0.890)
Co (0.615, 0.385, 0.110)
Co (0.885, 0.115, 0.610)

Tm3Te4 | PBE | optimized geometry

* formation energy without anion corrections: -1266 meV per atom
* distance to the lowest polymorph of the same formula: 0.21 eV per formula unit

Unit cell a=14.766 b=14.766 c=14.766 alpha=16.77 beta=16.77 gamma=16.77
Positions (direct):
Tm (0.000, 0.000, 0.000)
Tm (0.248, 0.248, 0.248)
Tm (0.752, 0.752, 0.752)
Te (0.122, 0.122, 0.122)
Te (0.374, 0.374, 0.374)
Te (0.626, 0.626, 0.626)
Te (0.878, 0.878, 0.878)

Ho3InAg4 | PBE | optimized geometry

* E_form: -1.07 eV per formula unit

Unit cell a=7.894 b=7.894 c=7.894 alpha=155.27 beta=107.29 gamma=78.14
Positions (direct):
Ho (0.000, 0.000, 0.000)
Ho (0.282, 0.782, 0.500)
Ho (0.718, 0.218, 0.500)
In (0.500, 0.500, 0.000)
Ag (0.110, 0.374, 0.736)
Ag (0.362, 0.626, 0.736)
Ag (0.638, 0.374, 0.264)
Ag (0.890, 0.626, 0.264)

CeCuSi | PBE | optimized geometry

* formation energy without anion corrections: -556 meV per atom

Unit cell a=4.114 b=4.114 c=4.061 alpha=90.00 beta=90.00 gamma=120.00
Positions (direct):
Ce (0.000, 0.000, 0.000)
Cu (0.333, 0.667, 0.500)
Si (0.667, 0.333, 0.500)

ZnSb2PbI | PBE | optimized geometry

* formation energy without anion corrections: 315 meV per atom
* distance to the lowest polymorph of the same formula: 0.00 eV per formula unit

Unit cell a=5.237 b=5.237 c=5.801 alpha=90.00 beta=90.00 gamma=90.00
Positions (direct):
Zn (0.000, 0.000, 0.000)
Sb (0.000, 0.500, 0.000)
Sb (0.500, 0.000, 0.000)
Pb (0.500, 0.500, 0.500)
I (0.000, 0.000, 0.500)

CuRhCS | PBE | optimized geometry

* formation energy without anion corrections: 427 meV per atom
* distance to the lowest polymorph of the same formula: 0.36 eV per formula unit

Unit cell a=3.741 b=3.837 c=4.522 alpha=73.59 beta=82.59 gamma=89.71
Positions (direct):
Cu (0.000, 0.000, 0.000)
Rh (0.495, 0.502, 0.999)
C (0.521, 0.049, 0.843)
S (0.665, 0.372, 0.496)

MgRe2Os | PBE | optimized geometry

* E_form: 1.13 eV per formula unit

Unit cell a=2.763 b=4.045 c=5.396 alpha=90.00 beta=90.00 gamma=90.00
Positions (direct):
Mg (0.000, 0.000, 0.000)
Re (0.000, 0.000, 0.498)
Re (0.500, 0.500, 0.739)
Os (0.500, 0.500, 0.233)

SrCaTe | PBE | optimized geometry

* formation energy without anion corrections: -761 meV per atom
* distance to the lowest polymorph of the same formula: 0.75 eV per formula unit

Unit cell a=5.425 b=5.425 c=5.425 alpha=60.00 beta=60.00 gamma=60.00
Positions (direct):
Sr (0.000, 0.000, 0.000)
Ca (0.500, 0.500, 0.500)
Te (0.750, 0.750, 0.750)

Re3Os | PBE | optimized geometry

* E_form: -0.20 eV per formula unit

Unit cell a=4.429 b=5.551 c=4.810 alpha=90.00 beta=90.00 gamma=90.00
Positions (direct):
Re (0.250, 0.001, 0.166)
Re (0.250, 0.499, 0.166)
Re (0.250, 0.750, 0.667)
Re (0.750, 0.250, 0.333)
Re (0.750, 0.501, 0.834)
Re (0.750, 0.999, 0.834)
Os (0.250, 0.250, 0.668)
Os (0.750, 0.750, 0.332)

SrScCuPt2 | PBE | optimized geometry

* E_form: -3.89 eV per formula unit

Unit cell a=6.750 b=6.750 c=6.750 alpha=144.03 beta=144.03 gamma=51.78
Positions (direct):
Sr (0.000, 0.000, 0.000)
Sc (0.750, 0.250, 0.500)
Cu (0.250, 0.750, 0.500)
Pt (0.388, 0.388, 0.000)
Pt (0.612, 0.612, 0.000)

MnRu2Br | PBE | optimized geometry

* formation energy without anion corrections: 734 meV per atom
* distance to the lowest polymorph of the same formula: 1.29 eV per formula unit

Unit cell a=2.904 b=2.904 c=8.839 alpha=90.00 beta=90.00 gamma=118.69
Positions (direct):
Mn (0.000, 0.000, 0.000)
Ru (0.000, 0.000, 0.526)
Ru (0.500, 0.500, 0.765)
Br (0.500, 0.500, 0.241)

BaCrSi4 | PBE | optimized geometry

* formation energy without anion corrections: 399 meV per atom

Unit cell a=5.555 b=5.555 c=5.555 alpha=60.00 beta=60.00 gamma=60.00
Positions (direct):
Ba (0.000, 0.000, 0.000)
Cr (0.750, 0.750, 0.750)
Si (0.385, 0.385, 0.385)
Si (0.385, 0.385, 0.845)
Si (0.385, 0.845, 0.385)
Si (0.845, 0.385, 0.385)

CoAs2Se | PBE | optimized geometry

* formation energy without anion corrections: -2 meV per atom

Unit cell a=3.839 b=3.839 c=7.912 alpha=104.43 beta=104.43 gamma=43.33
Positions (direct):
Co (0.000, 0.000, 0.000)
As (0.342, 0.342, 0.164)
As (0.658, 0.658, 0.836)
Se (0.500, 0.500, 0.500)

Pu2HfZr | PBE | optimized geometry

* E_form: 1.10 eV per formula unit
* distance to the lowest polymorph of the same formula: 0.39 eV per formula unit

Unit cell a=3.790 b=3.790 c=6.632 alpha=90.00 beta=90.00 gamma=90.00
Positions (direct):
Pu (0.000, 0.000, 0.247)
Pu (0.000, 0.000, 0.753)
Hf (0.500, 0.500, 0.000)
Zr (0.500, 0.500, 0.500)

Na2Co2Si | PBE | optimized geometry

* formation energy without anion corrections: 158 meV per atom

Unit cell a=5.761 b=5.761 c=4.983 alpha=90.00 beta=90.00 gamma=90.00
Positions (direct):
Na (0.178, 0.322, 0.000)
Na (0.322, 0.822, 0.000)
Na (0.678, 0.178, 0.000)
Na (0.822, 0.678, 0.000)
Co (0.139, 0.639, 0.500)
Co (0.361, 0.139, 0.500)
Co (0.639, 0.861, 0.500)
Co (0.861, 0.361, 0.500)
Si (0.000, 0.000, 0.500)
Si (0.500, 0.500, 0.500)

CdSn2Ir2 | PBE | optimized geometry

* E_form: -0.30 eV per formula unit
* distance to the lowest polymorph of the same formula: 0.00 eV per formula unit

Unit cell a=7.502 b=7.502 c=3.400 alpha=90.00 beta=90.00 gamma=90.00
Positions (direct):
Cd (0.000, 0.000, 0.000)
Cd (0.500, 0.500, 0.000)
Sn (0.154, 0.346, 0.500)
Sn (0.346, 0.846, 0.500)
Sn (0.654, 0.154, 0.500)
Sn (0.846, 0.654, 0.500)
Ir (0.142, 0.642, 0.000)
Ir (0.358, 0.142, 0.000)
Ir (0.642, 0.858, 0.000)
Ir (0.858, 0.358, 0.000)

ZnN | PBE | optimized geometry

* formation energy without anion corrections: 1172 meV per atom
* distance to the lowest polymorph of the same formula: 1.89 eV per formula unit

Unit cell a=2.711 b=2.711 c=2.711 alpha=90.00 beta=90.00 gamma=90.00
Positions (direct):
Zn (0.000, 0.000, 0.000)
N (0.500, 0.500, 0.500)

Pr2TlAg | PBE | optimized geometry

* E_form: -1.26 eV per formula unit
* distance to the lowest polymorph of the same formula: 0.00 eV per formula unit

Unit cell a=5.469 b=5.469 c=5.469 alpha=60.00 beta=60.00 gamma=60.00
Positions (direct):
Pr (0.250, 0.250, 0.250)
Pr (0.750, 0.750, 0.750)
Tl (0.000, 0.000, 0.000)
Ag (0.500, 0.500, 0.500)

ScTeBr | PBE | optimized geometry

* formation energy without anion corrections: -461 meV per atom

Unit cell a=5.102 b=5.102 c=5.102 alpha=60.00 beta=60.00 gamma=60.00
Positions (direct):
Sc (0.000, 0.000, 0.000)
Te (0.750, 0.750, 0.750)
Br (0.500, 0.500, 0.500)

K3TiN | PBE | optimized geometry

* formation energy without anion corrections: 1162 meV per atom
* distance to the lowest polymorph of the same formula: 0.00 eV per formula unit

Unit cell a=5.669 b=5.669 c=5.669 alpha=90.00 beta=90.00 gamma=90.00
Positions (direct):
K (0.000, 0.000, 0.500)
K (0.000, 0.500, 0.000)
K (0.500, 0.000, 0.000)
Ti (0.500, 0.500, 0.500)
N (0.000, 0.000, 0.000)

SrAs2Se2 | PBE | optimized geometry

* formation energy without anion corrections: -397 meV per atom
* distance to the lowest polymorph of the same formula: 0.39 eV per formula unit

Unit cell a=5.783 b=5.783 c=5.783 alpha=122.70 beta=122.70 gamma=85.38
Positions (direct):
Sr (0.000, 0.000, 0.000)
As (0.360, 0.360, 0.000)
As (0.640, 0.640, 0.000)
Se (0.250, 0.750, 0.500)
Se (0.750, 0.250, 0.500)

Tb8CoPb2 | PBE | optimized geometry

* E_form: -2.44 eV per formula unit

Unit cell a=9.861 b=9.861 c=7.047 alpha=97.79 beta=97.79 gamma=27.95
Positions (direct):
Tb (0.004, 0.004, 0.277)
Tb (0.217, 0.217, 0.832)
Tb (0.367, 0.367, 0.472)
Tb (0.406, 0.406, 0.993)
Tb (0.594, 0.594, 0.007)
Tb (0.633, 0.633, 0.528)
Tb (0.783, 0.783, 0.168)
Tb (0.996, 0.996, 0.723)
Co (0.500, 0.500, 0.500)
Pb (0.182, 0.182, 0.278)
Pb (0.818, 0.818, 0.722)

InCuSn2Pt | PBE | optimized geometry

* E_form: 4.79 eV per formula unit

Unit cell a=5.544 b=5.544 c=5.014 alpha=90.00 beta=90.00 gamma=90.00
Positions (direct):
In (0.000, 0.000, 0.000)
Cu (0.500, 0.500, 0.500)
Sn (0.000, 0.500, 0.000)
Sn (0.500, 0.000, 0.000)
Pt (0.000, 0.000, 0.500)

Nd5ScTe4 | PBE | optimized geometry

* formation energy without anion corrections: -973 meV per atom

Unit cell a=9.550 b=9.550 c=8.612 alpha=101.32 beta=101.32 gamma=25.54
Positions (direct):
Nd (0.000, 0.000, 0.000)
Nd (0.319, 0.319, 0.140)
Nd (0.330, 0.330, 0.696)
Nd (0.670, 0.670, 0.304)
Nd (0.681, 0.681, 0.860)
Sc (0.000, 0.000, 0.500)
Te (0.160, 0.160, 0.572)
Te (0.495, 0.495, 0.264)
Te (0.505, 0.505, 0.736)
Te (0.840, 0.840, 0.428)

Ce2CuPb | PBE | optimized geometry

* E_form: -0.68 eV per formula unit

Unit cell a=3.813 b=3.813 c=7.021 alpha=90.00 beta=90.00 gamma=90.00
Positions (direct):
Ce (0.000, 0.000, 0.201)
Ce (0.000, 0.000, 0.799)
Cu (0.500, 0.500, 0.000)
Pb (0.500, 0.500, 0.500)

Pa6AlS12 | PBE | optimized geometry

* formation energy without anion corrections: -1494 meV per atom

Unit cell a=7.765 b=7.765 c=7.765 alpha=100.08 beta=100.08 gamma=100.08
Positions (direct):
Pa (0.125, 0.631, 0.799)
Pa (0.201, 0.875, 0.369)
Pa (0.369, 0.201, 0.875)
Pa (0.631, 0.799, 0.125)
Pa (0.799, 0.125, 0.631)
Pa (0.875, 0.369, 0.201)
Al (0.500, 0.500, 0.500)
S (0.070, 0.929, 0.679)
S (0.071, 0.321, 0.930)
S (0.191, 0.537, 0.438)
S (0.321, 0.930, 0.071)
S (0.438, 0.191, 0.537)
S (0.463, 0.562, 0.809)
S (0.537, 0.438, 0.191)
S (0.562, 0.809, 0.463)
S (0.679, 0.070, 0.929)
S (0.809, 0.463, 0.562)
S (0.929, 0.679, 0.070)
S (0.930, 0.071, 0.321)

Rb2AgIr | PBE | optimized geometry

* E_form: 4.17 eV per formula unit
* distance to the lowest polymorph of the same formula: 0.00 eV per formula unit

Unit cell a=5.717 b=5.717 c=5.717 alpha=60.00 beta=60.00 gamma=60.00
Positions (direct):
Rb (0.250, 0.250, 0.250)
Rb (0.750, 0.750, 0.750)
Ag (0.000, 0.000, 0.000)
Ir (0.500, 0.500, 0.500)